Material: TaTlCuSe4
Method: DFT, PBE-GGA
State: relaxed

Structure (POSCAR):
```
TaTlCuSe4
1.0
5.790 0.000 -0.107
0.000 7.266 0.000
-2.376 0.000 10.067
Ta Tl Cu Se
2 2 2 8
Cartesian
0.120 5.449 2.731 Ta
3.294 1.816 7.229 Ta
2.119 5.449 8.857 Tl
1.295 1.816 1.103 Tl
3.024 5.449 2.741 Cu
0.390 1.816 7.219 Cu
-1.063 3.753 7.309 Se
4.477 0.121 2.651 Se
4.477 3.512 2.651 Se
-1.063 7.145 7.309 Se
1.540 5.449 0.741 Se
1.874 1.816 9.218 Se
1.592 5.449 4.661 Se
1.822 1.816 5.298 Se
```

## Properties
E_tot: -5.0519 eV per atom
Crystal system: monoclinic
Space group: P2_1/m
Fermi-level density of states: 0.61 states/eV per atom
Formation energy without anion corrections: -0.444 eV per atom

Material: TaTl3Cu2Se6
Method: DFT, PBE-GGA
State: relaxed

Structure (POSCAR):
```
TaTl3Cu2Se6
1.0
6.541 0.345 -0.071
-2.970 5.838 -0.071
-1.268 -2.196 7.667
Ta Tl Cu Se
1 3 2 6
Cartesian
0.000 0.000 0.000 Ta
-2.124 3.884 3.763 Tl
4.426 0.102 3.763 Tl
1.151 1.993 3.763 Tl
0.134 4.044 -0.071 Cu
3.436 2.138 -0.071 Cu
3.465 2.274 6.002 Se
2.359 4.085 1.086 Se
-1.163 1.712 1.524 Se
0.238 4.138 6.002 Se
-0.057 -0.099 6.440 Se
2.064 -0.152 1.524 Se
```

## Properties
E_tot: -4.3170 eV per atom
Crystal system: monoclinic
Space group: C2/m
Fermi-level density of states: 0.44 states/eV per atom
Formation energy without anion corrections: -0.313 eV per atom

Material: TaTlCu2Se4
Method: DFT, PBE-GGA
State: relaxed

Structure (POSCAR):
```
TaTlCu2Se4
1.0
6.434 0.253 0.000
-0.282 6.433 0.000
-3.076 -3.343 5.089
Ta Tl Cu Se
1 1 2 4
Cartesian
0.000 0.000 5.084 Ta
0.000 0.000 0.026 Tl
3.217 0.126 2.542 Cu
-0.141 3.216 2.542 Cu
1.285 1.397 3.560 Se
1.682 4.625 1.523 Se
4.470 2.060 1.523 Se
-1.285 -1.397 3.560 Se
```

## Properties
E_tot: -4.8834 eV per atom
Crystal system: orthorhombic
Space group: Fmm2
Fermi-level density of states: 0.03 states/eV per atom
Formation energy without anion corrections: -0.340 eV per atom

Material: TaVCu6Se8
Method: DFT, PBE-GGA
State: relaxed

Structure (POSCAR):
```
TaVCu6Se8
1.0
8.031 0.000 0.000
0.000 8.031 0.000
0.000 0.000 5.685
Ta V Cu Se
1 1 6 8
Cartesian
0.000 0.000 0.000 Ta
4.015 4.015 0.000 V
2.028 6.003 0.000 Cu
6.003 2.028 0.000 Cu
2.028 2.028 0.000 Cu
6.003 6.003 0.000 Cu
0.000 0.000 2.842 Cu
4.015 4.015 2.842 Cu
4.015 2.086 4.312 Se
0.000 6.018 4.266 Se
4.015 5.945 4.312 Se
0.000 2.013 4.266 Se
6.018 0.000 1.419 Se
2.086 4.015 1.373 Se
2.013 0.000 1.419 Se
5.945 4.015 1.373 Se
```

## Properties
E_tot: -5.0962 eV per atom
Crystal system: tetragonal
Space group: P-4m2
Formation energy without anion corrections: -0.507 eV per atom

Material: Tb2CuSe4
Method: DFT, PBE-GGA
State: relaxed

Structure (POSCAR):
```
Tb2CuSe4
1.0
-1.135 -0.813 6.913
-3.597 -4.404 -1.109
6.340 -4.704 -1.886
Tb Cu Se
4 2 8
Cartesian
-3.136 -4.257 4.379 Tb
4.744 -5.665 -0.460 Tb
1.584 -3.342 0.568 Tb
0.024 -6.579 3.350 Tb
-1.805 -4.354 0.446 Cu
3.413 -5.567 3.472 Cu
-0.747 -3.773 2.539 Se
2.826 -7.518 -2.014 Se
-1.219 -2.404 5.933 Se
0.988 -1.649 3.074 Se
1.842 -4.671 5.008 Se
0.619 -8.273 0.844 Se
2.354 -6.149 1.379 Se
-0.235 -5.250 -1.090 Se
```

## Properties
E_tot: -5.2330 eV per atom
Crystal system: monoclinic
Space group: P2_1/m
Fermi-level density of states: 0.19 states/eV per atom
Formation energy without anion corrections: -1.334 eV per atom

Material: Tb2Cu4Se5
Method: DFT, PBE-GGA
State: relaxed

Structure (POSCAR):
```
Tb2Cu4Se5
1.0
4.021 0.000 0.000
2.010 3.482 0.000
2.010 1.161 16.655
Tb Cu Se
2 4 5
Cartesian
2.010 1.161 10.054 Tb
6.031 3.482 6.600 Tb
6.031 3.482 15.688 Cu
4.021 2.321 4.048 Cu
4.021 2.321 12.607 Cu
2.010 1.161 0.967 Cu
6.031 3.482 11.793 Se
4.021 2.321 1.640 Se
4.021 2.321 8.327 Se
4.021 2.321 15.014 Se
2.010 1.161 4.862 Se
```

## Properties
E_tot: -4.6993 eV per atom
Crystal system: trigonal
Space group: R-3m
Fermi-level density of states: 0.50 states/eV per atom
Formation energy without anion corrections: -0.784 eV per atom